Entry 1:
## CeUNiPd (PBE-GGA)

Data for an optimized crystal structure of CeUNiPd.

Lattice parameters (Å, degrees): 4.649 4.649 4.649 60.00 60.00 60.00
Site moments in Bohr magnetons follow the coordinates.
Fractional coordinates of all 4 atoms:
Pd: 0.000 0.000 0.000  -0.03
Ce: 0.250 0.250 0.250  0.52
U: 0.500 0.500 0.500  1.60
Ni: 0.750 0.750 0.750  -0.07

The total magnetization is 2.08 μB per formula unit. The energy relative to the elements comes out at -0.33 eV/atom.


Entry 2:
## CeZrNiPd (PBE-GGA)

Data for an optimized crystal structure of CeZrNiPd.

Lattice parameters (Å, degrees): 4.813 4.813 4.813 60.00 60.00 60.00
Site moments in Bohr magnetons follow the coordinates.
Fractional coordinates of all 4 atoms:
Ni: 0.250 0.250 0.250  -0.01
Ce: 0.000 0.000 0.000  0.53
Zr: 0.500 0.500 0.500  0.18
Pd: 0.750 0.750 0.750  0.01

The total magnetization is 0.89 μB per formula unit. The energy relative to the elements comes out at -0.33 eV/atom.


Entry 3:
## CePmNi2 (PBE-GGA)

Data for an optimized crystal structure of CePmNi2.

Lattice parameters (Å, degrees): 3.946 3.946 6.980 73.58 73.58 60.00
Fractional coordinates of all 4 atoms:
Ni: 0.256 0.256 0.232
Ni: 0.744 0.744 0.768
Pm: 0.500 0.500 0.500
Ce: 0.000 0.000 0.000

The total magnetization is 0.00 μB per formula unit. The energy relative to the elements comes out at -0.21 eV/atom.


Entry 4:
## CePmNi3 (PBE-GGA)

Data for an optimized crystal structure of CePmNi3.

Lattice parameters (Å, degrees): 5.312 5.483 6.444 90.00 90.00 101.78
Fractional coordinates of all 10 atoms:
Ni: 0.295 0.639 0.060
Ni: 0.705 0.361 0.560
Ni: 0.705 0.361 0.940
Ni: 0.971 0.287 0.250
Ni: 0.295 0.639 0.440
Ni: 0.029 0.713 0.750
Pm: 0.840 0.761 0.250
Pm: 0.160 0.239 0.750
Ce: 0.414 0.164 0.250
Ce: 0.586 0.836 0.750

The total magnetization is 0.00 μB per formula unit. The energy relative to the elements comes out at -0.29 eV/atom.


Entry 5:
## CePmNi10 (PBE-GGA)

Data for an optimized crystal structure of CePmNi10.

Lattice parameters (Å, degrees): 3.983 4.917 8.495 90.00 90.00 90.00
Site moments in Bohr magnetons follow the coordinates.
Fractional coordinates of all 12 atoms:
Ni: 0.500 0.000 0.500  0.32
Ni: 0.000 0.000 0.338  0.23
Ni: 0.500 0.750 0.749  0.31
Ni: 0.000 0.500 0.827  0.23
Ni: 0.500 0.250 0.251  0.31
Ni: 0.500 0.750 0.251  0.31
Ni: 0.000 0.000 0.662  0.23
Ni: 0.500 0.250 0.749  0.31
Ni: 0.500 0.500 0.000  0.32
Ni: 0.000 0.500 0.173  0.23
Ce: 0.000 0.500 0.500  -0.24
Pm: 0.000 0.000 0.000  -0.06

The total magnetization is 2.20 μB per formula unit. The energy relative to the elements comes out at -0.32 eV/atom.


Entry 6:
## CePm2Ni (PBE-GGA)

Data for an optimized crystal structure of CePm2Ni.

Lattice parameters (Å, degrees): 3.786 3.786 9.629 78.66 78.66 60.00
Site moments in Bohr magnetons follow the coordinates.
Fractional coordinates of all 4 atoms:
Ce: 0.501 0.501 0.498  1.04
Pm: 0.060 0.060 0.819  0.03
Pm: 0.273 0.273 0.182  0.04
Ni: 0.666 0.666 0.001  0.03

The total magnetization is 1.56 μB per formula unit. The energy relative to the elements comes out at 0.03 eV/atom.